[1]
Below is crystalline Cd2TePb at its relaxed geometry, with properties calculated at the GGA-PBE level.

Results
Uncorrected formation energy   51 meV per atom

Cell lengths 6.4286, 10.9307, 3.2655 Å; angles 90.00, 98.66, 90.00 degrees
Last column: nearest neighbours and their distance in Å.
Space group C2/m (No. 12)
One atom of each set of equivalent atoms:
Cd 0.2500 0.2500 0.0000  4 Cd 3.21-3.27, 2 Pb 3.45, 2 Te 3.45
Te 0.0000 0.0000 0.5000  2 Pb 3.21, 2 Te 3.27, 4 Cd 3.45
Pb 0.0000 0.5000 0.5000  2 Te 3.21, 2 Pb 3.27, 4 Cd 3.45



[2]
Below is crystalline KCoOs3 at its relaxed geometry, with properties calculated at the GGA-PBE level.

Results
Energy relative to the elements   10.12 eV per formula unit

Cell lengths 4.5560, 4.5560, 4.5560 Å; angles 90.00, 90.00, 90.00 degrees
Last column: nearest neighbours and their distance in Å.
Space group Pm-3m (No. 221)
One atom of each set of equivalent atoms:
K 0.0000 0.0000 0.0000  12 Os 3.22
Co 0.5000 0.5000 0.5000  6 Os 2.28
Os 0.0000 0.5000 0.5000  2 Co 2.28



[3]
Below is crystalline Er6In2Ga at its relaxed geometry, with properties calculated at the GGA-PBE level.

Results
Energy relative to the elements   -1.23 eV per formula unit

Cell lengths 5.0646, 7.1723, 15.1869 Å; angles 90.00, 90.00, 90.00 degrees
Last column: nearest neighbours and their distance in Å.
Space group Immm (No. 71)
One atom of each set of equivalent atoms:
Er 0.0000 0.2387 0.0000  2 Ga 3.06, 2 In 3.14
Er 0.0000 0.2557 0.3378  1 Ga 3.02, 3 In 3.13-3.14
In 0.0000 0.5000 0.1659  8 Er 3.13-3.14
Ga 0.0000 0.5000 0.5000  8 Er 3.02-3.06



no.,raw total energy (eV/atom)
1,-2.12
2,-6.36
3,-4.12